Entry 1:
Compound: Hf2AlI2
Source: the Alexandria database
Functional: PBE
Structure: relaxed

For the energy, the calculation gives -4.856 eV/atom. Its volume is 23.882 A^3/atom. The value obtained for the energy above the lowest structure with this stoichiometry is 169 meV per atom.

The structure belongs to space group P4/mbm (No. 127); the cell edges are 8.499, 8.499 and 3.306 Å and the angles 90.00°, 90.00° and 90.00°. Symmetry generates all atoms from Hf at (0.165, 0.335, 0.000), Al at (0.000, 0.000, 0.500) and I at (0.135, 0.635, 0.500).

Entry 2:
Compound: CeNd3Ho6Tm2
Source: the Alexandria database
Functional: PBE
Structure: relaxed

For the energy, the calculation gives -4.685 eV/atom. Its volume is 31.812 A^3/atom. The calculation puts the formation energy at 0.43 eV/f.u.

The structure belongs to space group C2/m (No. 12); the cell edges are 6.168, 10.681 and 11.769 Å and the angles 90.00°, 100.05° and 90.00°. Symmetry generates all atoms from Ce at (0.000, 0.000, 0.000), Nd at (0.000, 0.168, 0.500), Nd at (0.000, 0.500, 0.500), Ho at (0.248, 0.166, 0.246), Ho at (0.249, 0.000, 0.754) and Tm at (0.000, 0.333, 0.000).

Entry 3:
Compound: Ac2TlBi3Pd6
Source: the Alexandria database
Functional: PBE
Structure: relaxed

For the energy, the calculation gives -4.766 eV/atom. Its volume is 27.494 A^3/atom. The calculation puts the formation energy at -3.81 eV/f.u.

The structure belongs to space group P4/mmm (No. 123); the cell edges are 4.384, 4.384 and 17.163 Å and the angles 90.00°, 90.00° and 90.00°. Symmetry generates all atoms from Ac at (0.000, 0.000, 0.199), Tl at (0.000, 0.000, 0.500), Bi at (0.500, 0.500, 0.000), Bi at (0.500, 0.500, 0.308), Pd at (0.000, 0.500, 0.401) and Pd at (0.500, 0.500, 0.151).

Entry 4:
Compound: LiSb2As
Source: the Alexandria database
Functional: PBE
Structure: relaxed

For the energy, the calculation gives -3.794 eV/atom. Its volume is 24.049 A^3/atom.

The structure belongs to space group Cm (No. 8); the cell edges are 11.402, 3.804 and 4.652 Å and the angles 90.00°, 107.52° and 90.00°. Symmetry generates all atoms from Li at (0.000, 0.000, 0.000), Sb at (0.220, 0.500, 0.936), Sb at (0.442, 0.000, 0.445) and As at (0.208, 0.000, 0.499).

Entry 5:
Compound: Pm2Mg3Pd4
Source: the Alexandria database
Functional: PBE
Structure: relaxed

For the energy, the calculation gives -4.572 eV/atom. Its volume is 20.347 A^3/atom. The calculation puts the formation energy at -6.09 eV/f.u.

The structure belongs to space group Cmce (No. 64); the cell edges are 5.847, 16.564 and 7.563 Å and the angles 90.00°, 90.00° and 90.00°. Symmetry generates all atoms from Pm at (0.000, 0.106, 0.084), Mg at (0.000, 0.000, 0.500), Mg at (0.250, 0.228, 0.750), Pd at (0.000, 0.169, 0.470) and Pd at (0.250, 0.066, 0.750).

Entry 6:
Compound: CeCuBi2S5
Source: the Alexandria database
Functional: PBE
Structure: relaxed

For the energy, the calculation gives -5.006 eV/atom. Its volume is 26.041 A^3/atom.

The structure belongs to space group Cmc2_1 (No. 36); the cell edges are 4.067, 19.303 and 11.942 Å and the angles 90.00°, 90.00° and 90.00°. Symmetry generates all atoms from Ce at (0.000, 0.203, 0.000), Cu at (0.000, 0.429, 0.449), Bi at (0.000, 0.081, 0.262), Bi at (0.000, 0.150, 0.664), S at (0.000, 0.059, 0.044), S at (0.000, 0.286, 0.665), S at (0.000, 0.324, 0.349), S at (0.000, 0.350, 0.012) and S at (0.000, 0.494, 0.284).

Q: What is the energy in the third record?
A: -4.766 eV/atom